Material: LiNbSe2Cl
Method: DFT, GGA-PBE
State: optimized geometry

Output
Crystal system = tetragonal
Formation energy without anion corrections = -0.234 eV/atom
M_tot = 1.329 μB per formula unit

Lattice parameters (Å, degrees): 4.8875 4.8875 7.6690 90.00 90.00 90.00
Closest atoms and distances in Å follow each position.
Atoms (fractional coordinates):
Li (0.0000, 0.0000, 0.0000)  4 Cl 3.46, 2 Nb 3.83
Nb (0.0000, 0.0000, 0.5000)  4 Se 2.44
Se (0.0000, 0.5000, 0.5000)  2 Nb 2.44
Se (0.5000, 0.0000, 0.5000)  2 Nb 2.44
Cl (0.5000, 0.5000, 0.0000)  4 Li 3.46

***

Material: VCd2Si
Method: DFT, GGA-PBE
State: optimized geometry

Output
Relative energy among the computed polymorphs = 0 meV/atom
Crystal system = tetragonal
Formation energy without anion corrections = 0.535 eV/atom
M_tot = 1.816 μB per formula unit

Lattice parameters (Å, degrees): 6.1270 6.1270 6.1270 100.41 100.41 129.69
Closest atoms and distances in Å follow each position.
Atoms (fractional coordinates):
V (0.0000, 0.0000, 0.0000)  2 Si 2.60
V (0.7500, 0.2500, 0.5000)  2 Si 2.60
Cd (0.1611, 0.6250, 0.0361)  2 Si 2.66, 2 Cd 2.67
Cd (0.3750, 0.4111, 0.5361)  2 Si 2.66, 2 Cd 2.67
Cd (0.5889, 0.1250, 0.9639)  2 Si 2.66, 2 Cd 2.67
Cd (0.8750, 0.8389, 0.4639)  2 Si 2.66, 2 Cd 2.67
Si (0.2500, 0.7500, 0.5000)  2 V 2.60, 4 Cd 2.66
Si (0.5000, 0.5000, 0.0000)  2 V 2.60, 4 Cd 2.66

***

Material: Ba2Li2Ge
Method: DFT, GGA-PBE
State: optimized geometry

Output
Relative energy among the computed polymorphs = 99 meV/atom
Crystal system = tetragonal
M_tot = 0.000 μB per formula unit
Formation enthalpy at 0 K = -3.40 kcal/mol of atoms

Lattice parameters (Å, degrees): 11.0070 11.0070 11.0070 158.79 158.79 30.17
Closest atoms and distances in Å follow each position.
Atoms (fractional coordinates):
Ba (0.0909, 0.0909, 0.0000)  4 Ge 3.46, 1 Ba 3.86
Ba (0.9091, 0.9091, 0.0000)  4 Ge 3.46, 1 Ba 3.86
Li (0.2500, 0.7500, 0.5000)  4 Li 2.86
Li (0.7500, 0.2500, 0.5000)  4 Li 2.86
Ge (0.5000, 0.5000, 0.0000)  8 Ba 3.46

***

Material: Y2AsW
Method: DFT, GGA-PBE
State: optimized geometry

Output
Crystal system = trigonal
M_tot = 0.450 μB per formula unit
Formation enthalpy at 0 K = 1.58 kcal/mol of atoms

Lattice parameters (Å, degrees): 8.5133 8.5133 8.5133 24.70 24.70 24.70
Closest atoms and distances in Å follow each position.
Atoms (fractional coordinates):
Y (0.2437, 0.2437, 0.2437)  3 As 2.84, 3 W 3.06
Y (0.7563, 0.7563, 0.7563)  3 As 2.84, 3 W 3.06
As (0.5000, 0.5000, 0.5000)  6 Y 2.84
W (0.0000, 0.0000, 0.0000)  6 Y 3.06

***

Material: CrBiCl2
Method: DFT, GGA-PBE
State: optimized geometry

Output
Relative energy among the computed polymorphs = 506 meV/atom
Crystal system = tetragonal
Formation energy without anion corrections = 0.287 eV/atom
M_tot = 0.004 μB per formula unit

Lattice parameters (Å, degrees): 6.7628 6.7628 6.7628 120.02 120.02 89.96
Closest atoms and distances in Å follow each position.
Atoms (fractional coordinates):
Cr (0.0000, 0.0000, 0.0000)  4 Cl 2.16
Cr (0.7500, 0.2500, 0.5000)  4 Cl 2.16
Bi (0.2500, 0.7500, 0.5000)  4 Cl 3.46
Bi (0.5000, 0.5000, 0.0000)  4 Cl 3.46
Cl (0.3750, 0.2140, 0.3390)  2 Cr 2.16
Cl (0.7860, 0.1250, 0.1610)  2 Cr 2.16
Cl (0.8750, 0.0360, 0.6610)  2 Cr 2.16
Cl (0.9640, 0.6250, 0.8390)  2 Cr 2.16

***

Material: Cs5Rb2Hg2Au
Method: DFT, GGA-PBE
State: optimized geometry

Output
Crystal system = tetragonal
M_tot = 0.000 μB per formula unit
Formation enthalpy at 0 K = -3.42 kcal/mol of atoms

Lattice parameters (Å, degrees): 16.1823 16.1823 4.8550 90.00 90.00 90.00
Closest atoms and distances in Å follow each position.
Atoms (fractional coordinates):
Cs (0.0000, 0.5000, 0.0000)  4 Hg 3.97
Cs (0.0556, 0.1825, 0.0000)  2 Au 3.93, 2 Hg 4.02, 2 Cs 4.37
Cs (0.1825, 0.9444, 0.0000)  2 Au 3.93, 2 Hg 4.02, 2 Cs 4.37
Cs (0.3175, 0.4444, 0.0000)  2 Au 3.93, 2 Hg 4.02, 2 Cs 4.37
Cs (0.4444, 0.6825, 0.0000)  2 Au 3.93, 2 Hg 4.02, 2 Cs 4.37
Cs (0.5000, 0.0000, 0.0000)  4 Hg 3.97
Cs (0.5556, 0.3175, 0.0000)  2 Au 3.93, 2 Hg 4.02, 2 Cs 4.37
Cs (0.6825, 0.5556, 0.0000)  2 Au 3.93, 2 Hg 4.02, 2 Cs 4.37
Cs (0.8175, 0.0556, 0.0000)  2 Au 3.93, 2 Hg 4.02, 2 Cs 4.37
Cs (0.9444, 0.8175, 0.0000)  2 Au 3.93, 2 Hg 4.02, 2 Cs 4.37
Rb (0.1815, 0.6815, 0.5000)  1 Hg 4.15
Rb (0.3185, 0.1815, 0.5000)  1 Hg 4.15
Rb (0.6815, 0.8185, 0.5000)  1 Hg 4.15
Rb (0.8185, 0.3185, 0.5000)  1 Hg 4.15
Hg (0.1371, 0.3629, 0.5000)  6 Cs 3.97-4.02, 1 Rb 4.15
Hg (0.3629, 0.8629, 0.5000)  6 Cs 3.97-4.02, 1 Rb 4.15
Hg (0.6371, 0.1371, 0.5000)  6 Cs 3.97-4.02, 1 Rb 4.15
Hg (0.8629, 0.6371, 0.5000)  6 Cs 3.97-4.02, 1 Rb 4.15
Au (0.0000, 0.0000, 0.5000)  8 Cs 3.93
Au (0.5000, 0.5000, 0.5000)  8 Cs 3.93

***

Material: CaPm2Pd
Method: DFT, GGA-PBE
State: optimized geometry

Output
Relative energy among the computed polymorphs = 0 meV/atom
Crystal system = orthorhombic
M_tot = 0.000 μB per formula unit
Formation enthalpy at 0 K = -9.19 kcal/mol of atoms

Lattice parameters (Å, degrees): 7.4271 10.0308 6.5012 90.00 90.00 90.00
Closest atoms and distances in Å follow each position.
Atoms (fractional coordinates):
Ca (0.0316, 0.2500, 0.1366)  2 Pd 3.00-3.09
Ca (0.4684, 0.7500, 0.6366)  2 Pd 3.00-3.09
Ca (0.5316, 0.2500, 0.3634)  2 Pd 3.00-3.09
Ca (0.9684, 0.7500, 0.8634)  2 Pd 3.00-3.09
Pm (0.1768, 0.0604, 0.6683)  2 Pd 2.92-2.95
Pm (0.1768, 0.4396, 0.6683)  2 Pd 2.92-2.95
Pm (0.3232, 0.5604, 0.1683)  2 Pd 2.92-2.95
Pm (0.3232, 0.9396, 0.1683)  2 Pd 2.92-2.95
Pm (0.6768, 0.0604, 0.8317)  2 Pd 2.92-2.95
Pm (0.6768, 0.4396, 0.8317)  2 Pd 2.92-2.95
Pm (0.8232, 0.5604, 0.3317)  2 Pd 2.92-2.95
Pm (0.8232, 0.9396, 0.3317)  2 Pd 2.92-2.95
Pd (0.1121, 0.7500, 0.4177)  4 Pm 2.92-2.95, 2 Ca 3.00-3.09
Pd (0.3879, 0.2500, 0.9177)  4 Pm 2.92-2.95, 2 Ca 3.00-3.09
Pd (0.6121, 0.7500, 0.0823)  4 Pm 2.92-2.95, 2 Ca 3.00-3.09
Pd (0.8879, 0.2500, 0.5823)  4 Pm 2.92-2.95, 2 Ca 3.00-3.09

***

Material: LiCoGeRh
Method: DFT, GGA-PBE
State: optimized geometry

Output
Crystal system = cubic
M_tot = 0.001 μB per formula unit
Formation enthalpy at 0 K = -9.48 kcal/mol of atoms

Lattice parameters (Å, degrees): 4.0887 4.0887 4.0887 60.00 60.00 60.00
Closest atoms and distances in Å follow each position.
Atoms (fractional coordinates):
Li (0.0000, 0.0000, 0.0000)  4 Co 2.50, 4 Rh 2.50
Co (0.2500, 0.2500, 0.2500)  4 Ge 2.50, 4 Li 2.50
Ge (0.5000, 0.5000, 0.5000)  4 Co 2.50, 4 Rh 2.50
Rh (0.7500, 0.7500, 0.7500)  4 Ge 2.50, 4 Li 2.50

***

Material: Ba2In6AgPt
Method: DFT, GGA-PBE
State: optimized geometry

Output
Crystal system = triclinic
M_tot = 0.000 μB per formula unit
Formation enthalpy at 0 K = -7.83 kcal/mol of atoms

Lattice parameters (Å, degrees): 7.2713 7.3060 7.6084 61.69 61.93 60.16
Closest atoms and distances in Å follow each position.
Atoms (fractional coordinates):
Ba (0.1863, 0.1880, 0.4382)  6 In 3.57-3.74, 1 Pt 3.58
Ba (0.8137, 0.8120, 0.5618)  6 In 3.57-3.74, 1 Pt 3.58
In (0.1610, 0.3330, 0.8564)  1 Pt 2.76, 1 Ag 2.91
In (0.3323, 0.6502, 0.8551)  1 Pt 2.76, 1 Ag 2.89
In (0.3530, 0.8380, 0.1430)  1 Pt 2.75, 1 Ag 2.89
In (0.6470, 0.1620, 0.8570)  1 Pt 2.75, 1 Ag 2.89
In (0.6677, 0.3498, 0.1449)  1 Pt 2.76, 1 Ag 2.89
In (0.8390, 0.6670, 0.1436)  1 Pt 2.76, 1 Ag 2.91
Ag (0.5000, 0.5000, 0.5000)  6 In 2.89-2.91
Pt (0.0000, 0.0000, 0.0000)  6 In 2.75-2.76

***

Material: NiSN2Cl
Method: DFT, GGA-PBE
State: optimized geometry

Output
Relative energy among the computed polymorphs = 0 meV/atom
Crystal system = tetragonal
Formation energy without anion corrections = 1.361 eV/atom
M_tot = 0.412 μB per formula unit

Lattice parameters (Å, degrees): 3.5147 3.5147 7.5803 90.00 90.00 90.00
Closest atoms and distances in Å follow each position.
Atoms (fractional coordinates):
Ni (0.0000, 0.0000, 0.0000)  4 N 1.76
S (0.0000, 0.0000, 0.5000)  4 Cl 2.49
N (0.0000, 0.5000, 0.0000)  2 Ni 1.76
N (0.5000, 0.0000, 0.0000)  2 Ni 1.76
Cl (0.5000, 0.5000, 0.5000)  4 S 2.49

***

Material: Pm3Ho3Co4
Method: DFT, GGA-PBE
State: optimized geometry

Output
Crystal system = orthorhombic
M_tot = 0.000 μB per formula unit
Formation enthalpy at 0 K = -2.19 kcal/mol of atoms

Lattice parameters (Å, degrees): 4.2484 7.2480 7.2480 90.29 90.00 90.00
Closest atoms and distances in Å follow each position.
Atoms (fractional coordinates):
Pm (0.0000, 0.0000, 0.0000)  6 Co 3.03-3.15
Pm (0.0000, 0.4958, 0.8461)  6 Co 2.97-3.07
Pm (0.0000, 0.8461, 0.4958)  6 Co 2.97-3.07
Ho (0.0000, 0.3479, 0.3479)  6 Co 2.95-2.96
Ho (0.5000, 0.1712, 0.6691)  4 Co 2.84-3.03
Ho (0.5000, 0.6691, 0.1712)  4 Co 2.84-3.03
Co (0.5000, 0.0707, 0.2895)  1 Co 2.25
Co (0.5000, 0.2895, 0.0707)  1 Co 2.25
Co (0.5000, 0.5502, 0.5502)  1 Co 2.27
Co (0.5000, 0.7720, 0.7720)  1 Co 2.27

***

Material: Sm3Pu
Method: DFT, GGA-PBE
State: optimized geometry

Output
Relative energy among the computed polymorphs = 0 meV/atom
Crystal system = hexagonal
M_tot = 5.987 μB per formula unit
Formation enthalpy at 0 K = 2.51 kcal/mol of atoms

Lattice parameters (Å, degrees): 3.5878 3.5878 11.5820 90.00 90.00 120.00
Closest atoms and distances in Å follow each position.
Atoms (fractional coordinates):
Sm (0.0000, 0.0000, 0.0000)  12 Sm 3.59-3.63
Sm (0.6667, 0.3333, 0.2570)  3 Pu 3.49, 9 Sm 3.59-3.63
Sm (0.6667, 0.3333, 0.7430)  3 Pu 3.49, 9 Sm 3.59-3.63
Pu (0.3333, 0.6667, 0.5000)  6 Sm 3.49, 6 Pu 3.59

***

Number 1: N(E_F) 0.32 states/eV/atom. Number 2: N(E_F) 0.98 states/eV/atom. Number 3: N(E_F) 0.84 states/eV/atom. Number 4: N(E_F) 0.96 states/eV/atom. Number 5: N(E_F) 1.70 states/eV/atom. Number 6: N(E_F) 0.76 states/eV/atom. Number 7: N(E_F) 0.97 states/eV/atom. Number 8: N(E_F) 0.50 states/eV/atom. Number 9: N(E_F) 0.34 states/eV/atom. Number 10: N(E_F) 0.81 states/eV/atom. Number 11: N(E_F) 0.67 states/eV/atom. Number 12: N(E_F) 2.79 states/eV/atom.